No. 1
The following is a DFT calculation (PBE) of CsLa3Fe after structural relaxation.

a b c (Å): 5.646 5.646 5.646
angles (deg): 90.00 90.00 90.00
Atoms (fractional coordinates):
Cs: 0.500 0.500 0.500
Fe: 0.000 0.000 0.000
La: 0.000 0.500 0.000
La: 0.000 0.000 0.500
La: 0.500 0.000 0.000

**Raw total energy**: -22.52 eV/cell
**SG**: Pm-3m
**ΔE_f**: 0.32 eV per atom
**Density**: 5.59 g/cm³

=====

No. 2
The following is a DFT calculation (PBE) of CsLaMgFe2 after structural relaxation.

a b c (Å): 5.044 5.671 5.044
angles (deg): 90.00 90.00 90.00
Atoms (fractional coordinates):
Cs: 0.000 0.500 0.000
Mg: 0.000 0.000 0.000
Fe: 0.000 0.000 0.500
Fe: 0.500 0.000 0.000
La: 0.500 0.500 0.500

**Raw total energy**: -17.56 eV/cell
**SG**: P4/mmm
**ΔE_f**: 1.35 eV per atom
**Density**: 4.69 g/cm³

=====

> Among the records above, which one has the lowest ΔE_f?

CsLa3Fe

=====

Repeat the second record exactly.
The following is a DFT calculation (PBE) of CsLaMgFe2 after structural relaxation.

a b c (Å): 5.044 5.671 5.044
angles (deg): 90.00 90.00 90.00
Atoms (fractional coordinates):
Cs: 0.000 0.500 0.000
Mg: 0.000 0.000 0.000
Fe: 0.000 0.000 0.500
Fe: 0.500 0.000 0.000
La: 0.500 0.500 0.500

**Raw total energy**: -17.56 eV/cell
**SG**: P4/mmm
**ΔE_f**: 1.35 eV per atom
**Density**: 4.69 g/cm³

=====

> Number 1 is which compound?

CsLa3Fe